No. 1
Li2GdCd: optimized geometry, GGA-PBE.

Lattice parameters (Å, degrees): 4.465 4.465 4.891 90.00 90.00 90.00
Element x y z (fractional)
Li: 0.000 0.500 0.000
Li: 0.500 0.000 0.000
Gd: 0.000 0.000 0.500
Cd: 0.500 0.500 0.500

Output
Calculated formation energy in eV/atom: -0.008
E above lowest polymorph in kJ per mole of atoms: 7.6
Space group: P4/mmm, No. 123
Calculated total energy in eV per atom: -4.71



No. 2
LiGd2Cd: optimized geometry, GGA-PBE.

Lattice parameters (Å, degrees): 12.046 12.046 12.046 15.97 15.97 15.97
Element x y z (fractional)
Li: 0.000 0.000 0.000
Gd: 0.409 0.409 0.409
Gd: 0.591 0.591 0.591
Cd: 0.500 0.500 0.500

Output
Calculated formation energy in eV/atom: 0.264
E above lowest polymorph in kJ per mole of atoms: 39.2
Space group: R-3m, No. 166
Calculated total energy in eV per atom: -7.48



No. 3
LiGd2Cd: optimized geometry, GGA-PBE.

Lattice parameters (Å, degrees): 5.214 5.214 3.870 90.00 90.00 90.00
Element x y z (fractional)
Li: 0.000 0.000 0.000
Gd: 0.000 0.500 0.500
Gd: 0.500 0.000 0.500
Cd: 0.500 0.500 0.000

Output
Calculated formation energy in eV/atom: -0.141
E above lowest polymorph in kJ per mole of atoms: 0.1
Space group: P4/mmm, No. 123
Calculated total energy in eV per atom: -7.89



No. 4
LiGdMgCd: optimized geometry, GGA-PBE.

Lattice parameters (Å, degrees): 5.116 5.116 5.116 60.00 60.00 60.00
Element x y z (fractional)
Li: 0.000 0.000 0.000
Gd: 0.500 0.500 0.500
Mg: 0.250 0.250 0.250
Cd: 0.750 0.750 0.750

Output
Calculated formation energy in eV/atom: -0.131
Space group: F-43m, No. 216
Calculated total energy in eV per atom: -4.76



No. 5
LiGdCdNi: optimized geometry, GGA-PBE.

Lattice parameters (Å, degrees): 4.730 4.730 4.730 60.00 60.00 60.00
Element x y z (fractional)
Li: 0.000 0.000 0.000
Gd: 0.750 0.750 0.750
Cd: 0.250 0.250 0.250
Ni: 0.500 0.500 0.500

Output
Calculated formation energy in eV/atom: -0.191
Space group: F-43m, No. 216
Calculated total energy in eV per atom: -5.86



No. 6
LiGdCdPb: optimized geometry, GGA-PBE.

Lattice parameters (Å, degrees): 5.200 5.200 5.200 60.00 60.00 60.00
Element x y z (fractional)
Li: 0.000 0.000 0.000
Gd: 0.500 0.500 0.500
Cd: 0.750 0.750 0.750
Pb: 0.250 0.250 0.250

Output
Calculated formation energy in eV/atom: -0.374
Space group: F-43m, No. 216
Calculated total energy in eV per atom: -5.53